VASP calculation (PBE) on an optimized crystal structure of Rb3CdSi2O6.

abc: 6.0453 6.0453 7.5720
angles: 90.00 90.00 120.00
Fractional positions:
Rb  0.3333  0.6667  0.7266
Rb  0.6667  0.3333  0.2734
Rb  0.0000  0.0000  0.0000
Cd  0.0000  0.0000  0.5000
Si  0.6667  0.3333  0.7184
Si  0.3333  0.6667  0.2816
O  0.6389  0.8194  0.2985
O  0.1806  0.3611  0.2985
O  0.1806  0.8194  0.2985
O  0.8194  0.6389  0.7015
O  0.3611  0.1806  0.7015
O  0.8194  0.1806  0.7015

The calculation puts the formation energy (no corrections) at -22.184 eV per formula unit. The calculation puts the total magnetic moment at 0.0 μB per formula unit.